1.
Density functional theory data (GGA-PBE) for crystalline BaAcGaO4 at its relaxed geometry.

Cell: 6.055 5.989 7.426 Å, 90.00 107.76 90.00°
Fractional coordinates of all 14 atoms:
1 O 0.434 0.750 0.565
2 O 0.566 0.250 0.435
3 Ga 0.754 0.250 0.690
4 Ga 0.246 0.750 0.310
5 O 0.037 0.988 0.276
6 Ba 0.708 0.750 0.926
7 O 0.557 0.250 0.841
8 O 0.963 0.488 0.724
9 O 0.443 0.750 0.159
10 Ac 0.210 0.250 0.546
11 Ba 0.292 0.250 0.074
12 O 0.037 0.512 0.276
13 O 0.963 0.012 0.724
14 Ac 0.790 0.750 0.454

Computed properties:
- total moment (Bohr magnetons per cell) = 0.0
- ΔE_f (raw) (eV/atom) = -2.61
- calculated total energy (eV per formula unit) = -47.2

2.
Density functional theory data (GGA-PBE) for crystalline Ba2AcGaO5 at its relaxed geometry.

Cell: 6.438 6.933 6.933 Å, 90.00 90.00 90.00°
Fractional coordinates of all 18 atoms:
1 Ba 0.500 0.670 0.170
2 Ba 0.500 0.170 0.330
3 O 0.801 0.646 0.854
4 O 0.500 0.000 0.000
5 O 0.199 0.146 0.646
6 Ba 0.500 0.830 0.670
7 Ga 0.000 0.000 0.500
8 O 0.199 0.646 0.854
9 O 0.801 0.854 0.354
10 O 0.801 0.146 0.646
11 Ba 0.500 0.330 0.830
12 O 0.500 0.500 0.500
13 O 0.801 0.354 0.146
14 O 0.199 0.854 0.354
15 Ga 0.000 0.500 0.000
16 O 0.199 0.354 0.146
17 Ac 0.000 0.000 0.000
18 Ac 0.000 0.500 0.500

Computed properties:
- total moment (Bohr magnetons per cell) = 0.0
- ΔE_f (raw) (eV/atom) = -2.31
- calculated total energy (eV per formula unit) = -56.5

3.
Density functional theory data (GGA-PBE) for crystalline BaAcGaPb at its relaxed geometry.

Cell: 5.846 5.846 5.846 Å, 60.00 60.00 60.00°
Fractional coordinates of all 4 atoms:
1 Ac 0.000 0.000 0.000
2 Ba 0.500 0.500 0.500
3 Pb 0.250 0.250 0.250
4 Ga 0.750 0.750 0.750

Computed properties:
- total moment (Bohr magnetons per cell) = 0.0
- calculated total energy (eV per formula unit) = -14.3
- formation enthalpy at 0 K (meV per atom) = -384

4.
Density functional theory data (GGA-PBE) for crystalline BaAcGaPd at its relaxed geometry.

Cell: 4.555 4.555 8.597 Å, 90.05 105.30 120.02°
Fractional coordinates of all 4 atoms:
1 Ga 0.502 0.615 0.117
2 Ac 0.014 0.871 0.885
3 Ba 0.346 0.038 0.384
4 Pd 0.831 0.280 0.111

Computed properties:
- total moment (Bohr magnetons per cell) = 0.0
- calculated total energy (eV per formula unit) = -16.4
- distance to the lowest polymorph of the same formula (meV/atom) = 0
- formation enthalpy at 0 K (meV per atom) = -539

5.
Density functional theory data (GGA-PBE) for crystalline BaAcGaPd at its relaxed geometry.

Cell: 5.544 5.544 5.544 Å, 60.00 60.00 60.00°
Fractional coordinates of all 4 atoms:
1 Ba 0.500 0.500 0.500
2 Ac 0.000 0.000 0.000
3 Pd 0.750 0.750 0.750
4 Ga 0.250 0.250 0.250

Computed properties:
- total moment (Bohr magnetons per cell) = 0.0
- calculated total energy (eV per formula unit) = -15.9
- distance to the lowest polymorph of the same formula (meV/atom) = 137
- formation enthalpy at 0 K (meV per atom) = -403

6.
Density functional theory data (GGA-PBE) for crystalline BaAc2Ga2Pd7 at its relaxed geometry.

Cell: 4.341 4.341 14.270 Å, 83.68 83.68 88.83°
Fractional coordinates of all 12 atoms:
1 Ba 0.000 0.000 0.000
2 Ga 0.580 0.580 0.749
3 Ga 0.420 0.420 0.251
4 Pd 0.447 0.951 0.164
5 Ac 0.106 0.106 0.645
6 Pd 0.553 0.049 0.836
7 Pd 0.378 0.378 0.428
8 Pd 0.622 0.622 0.572
9 Pd 0.951 0.447 0.164
10 Pd 0.500 0.500 0.000
11 Pd 0.049 0.553 0.836
12 Ac 0.894 0.894 0.355

Computed properties:
- total moment (Bohr magnetons per cell) = 0.0
- calculated total energy (eV per formula unit) = -60.2
- formation enthalpy at 0 K (meV per atom) = -639